Record 1
A plane-wave DFT calculation with PBE was carried out for a relaxed SrZnCuAg3 crystal.

a b c (Å): 7.4317 7.4317 5.7938
angles (deg): 90.00 90.00 124.28
With the nearest neighbours (Å) after each atom.
Fractional positions:
Sr: 0.2141 0.7859 0.7500  2 Cu 3.05, 1 Zn 3.11, 2 Ag 3.37
Sr: 0.7859 0.2141 0.2500  2 Cu 3.05, 1 Zn 3.11, 2 Ag 3.37
Zn: 0.4512 0.5488 0.7500  5 Ag 2.62-2.68
Zn: 0.5488 0.4512 0.2500  5 Ag 2.62-2.68
Cu: 0.1413 0.8587 0.2500  5 Ag 2.67-2.74
Cu: 0.8587 0.1413 0.7500  5 Ag 2.67-2.74
Ag: 0.2002 0.2002 0.0000  2 Zn 2.62, 2 Cu 2.74, 3 Ag 2.78-2.90
Ag: 0.2002 0.2002 0.5000  2 Zn 2.62, 2 Cu 2.74, 3 Ag 2.78-2.90
Ag: 0.3446 0.6554 0.2500  1 Cu 2.67, 1 Zn 2.68
Ag: 0.6554 0.3446 0.7500  1 Cu 2.67, 1 Zn 2.68
Ag: 0.7998 0.7998 0.0000  2 Zn 2.62, 2 Cu 2.74, 3 Ag 2.78-2.90
Ag: 0.7998 0.7998 0.5000  2 Zn 2.62, 2 Cu 2.74, 3 Ag 2.78-2.90

## Properties
Density, Mg/m³: 6.78
Symmetry: Cmcm (63)
Formation energy from the elements, eV/atom: -0.01

***

Record 2
A plane-wave DFT calculation with PBE was carried out for a relaxed SrZn2CuAg crystal.

a b c (Å): 4.7055 4.7055 5.0698
angles (deg): 90.00 90.00 90.00
With the nearest neighbours (Å) after each atom.
Fractional positions:
Sr: 0.0000 0.0000 0.0000  4 Ag 3.33, 8 Zn 3.46
Zn: 0.0000 0.5000 0.5000  2 Cu 2.35
Zn: 0.5000 0.0000 0.5000  2 Cu 2.35
Cu: 0.5000 0.5000 0.5000  4 Zn 2.35, 2 Ag 2.53
Ag: 0.5000 0.5000 0.0000  2 Cu 2.53

## Properties
Density, Mg/m³: 5.77
Symmetry: P4/mmm (123)
Formation energy from the elements, eV/atom: -0.05

***

Q: What is the density in the second record?
A: 5.77 Mg/m³

***

Q: The highest density belongs to which entry?
A: SrZnCuAg3

***

Q: The highest formation energy from the elements belongs to which entry?
A: SrZnCuAg3

***

Q: What is the formation energy from the elements in the second record?
A: -0.05 eV/atom